{
  "formula": "MnHSe2",
  "functional": "GGA-PBE",
  "state": "optimized geometry",
  "cell": [[1.4907, 0.8607, 7.4657], [-1.4907, 0.8607, 7.4657], [0.0000, -1.7213, 7.4657]],
  "species": ["Mn", "H", "Se", "Se"],
  "frac_coords": [[0.0000, 0.0000, 0.0000], [0.5000, 0.5000, 0.5000], [0.1001, 0.1001, 0.1001], [0.8999, 0.8999, 0.8999]],
  "de_polymorph_mev_per_atom": 1103.1,
  "dft_energy_ev_per_atom": -4.002,
  "magmom_total_mub_per_cell": 0.0
}



{
  "formula": "MnHSe2",
  "functional": "GGA-PBE",
  "state": "optimized geometry",
  "cell": [[-2.7874, 2.7874, 4.2247], [2.7874, -2.7874, 4.2247], [2.7874, 2.7874, -4.2247]],
  "species": ["Mn", "Mn", "H", "H", "Se", "Se", "Se", "Se"],
  "frac_coords": [[0.3750, 0.6250, 0.7500], [0.6250, 0.3750, 0.2500], [0.1250, 0.8750, 0.2500], [0.8750, 0.1250, 0.7500], [0.0788, 0.3288, 0.7500], [0.3288, 0.0788, 0.2500], [0.6712, 0.9212, 0.7500], [0.9212, 0.6712, 0.2500]],
  "de_polymorph_mev_per_atom": 319.4,
  "dft_energy_ev_per_atom": -4.785,
  "magmom_total_mub_per_cell": 8.3
}



{
  "formula": "MnHSe2",
  "functional": "GGA-PBE",
  "state": "optimized geometry",
  "cell": [[3.6096, -3.2597, 0.0000], [3.6096, 3.2597, 0.0000], [-2.7165, 0.0000, 5.1255]],
  "species": ["Mn", "Mn", "H", "H", "Se", "Se", "Se", "Se"],
  "frac_coords": [[0.1039, 0.8961, 0.7500], [0.8961, 0.1039, 0.2500], [0.3263, 0.6737, 0.2500], [0.6737, 0.3263, 0.7500], [0.0074, 0.6138, 0.3022], [0.3862, 0.9926, 0.1978], [0.6138, 0.0074, 0.8022], [0.9926, 0.3862, 0.6978]],
  "de_polymorph_mev_per_atom": 348.1,
  "dft_energy_ev_per_atom": -4.757,
  "magmom_total_mub_per_cell": 0.0
}



{
  "formula": "Mn2HSe",
  "functional": "GGA-PBE",
  "state": "optimized geometry",
  "cell": [[3.2497, -1.5771, 0.0000], [3.2497, 1.5771, 0.0000], [-0.3095, 0.0000, 5.3764]],
  "species": ["Mn", "Mn", "H", "Se"],
  "frac_coords": [[0.0000, 0.0000, 0.0000], [0.6820, 0.6820, 0.7304], [0.4009, 0.4009, 0.8290], [0.6978, 0.6978, 0.2738]],
  "de_polymorph_mev_per_atom": 71.2,
  "dft_energy_ev_per_atom": -6.211,
  "magmom_total_mub_per_cell": 0.8
}



{
  "formula": "MnHSe2",
  "functional": "GGA-PBE",
  "state": "optimized geometry",
  "cell": [[3.2461, 0.0000, 0.0000], [-0.0095, 7.1125, 0.0000], [-1.6168, -3.2101, 6.2953]],
  "species": ["Mn", "Mn", "H", "H", "Se", "Se", "Se", "Se"],
  "frac_coords": [[0.0000, 0.0000, 0.0000], [0.3116, 0.7024, 0.6213], [0.2203, 0.7658, 0.4373], [0.7973, 0.7919, 0.5946], [0.3997, 0.0867, 0.7980], [0.6464, 0.1053, 0.2933], [0.6733, 0.4727, 0.3449], [0.9211, 0.6198, 0.8418]],
  "de_polymorph_mev_per_atom": 115.1,
  "dft_energy_ev_per_atom": -4.990,
  "magmom_total_mub_per_cell": 2.0
}



{
  "formula": "MnHSe2",
  "functional": "GGA-PBE",
  "state": "optimized geometry",
  "cell": [[1.5340, 0.8856, 7.6221], [-1.5340, 0.8856, 7.6221], [0.0000, -1.7713, 7.6221]],
  "species": ["Mn", "H", "Se", "Se"],
  "frac_coords": [[0.0000, 0.0000, 0.0000], [0.6481, 0.6481, 0.6481], [0.4020, 0.4020, 0.4020], [0.8974, 0.8974, 0.8974]],
  "de_polymorph_mev_per_atom": 226.6,
  "dft_energy_ev_per_atom": -4.878,
  "magmom_total_mub_per_cell": 0.7
}



{
  "formula": "MnHSe2",
  "functional": "GGA-PBE",
  "state": "optimized geometry",
  "cell": [[3.3085, 0.0000, 0.0000], [1.6499, 6.9597, 0.0000], [0.0131, 3.2921, 6.5987]],
  "species": ["Mn", "Mn", "H", "H", "Se", "Se", "Se", "Se"],
  "frac_coords": [[0.0000, 0.0000, 0.0000], [0.3458, 0.3110, 0.7404], [0.0607, 0.8760, 0.2369], [0.6559, 0.6881, 0.8862], [0.4062, 0.1874, 0.0874], [0.6422, 0.7140, 0.0827], [0.7109, 0.5826, 0.6317], [0.9415, 0.1199, 0.6492]],
  "de_polymorph_mev_per_atom": 36.3,
  "dft_energy_ev_per_atom": -5.069,
  "magmom_total_mub_per_cell": 2.2
}



{
  "formula": "Mn2HSe",
  "functional": "GGA-PBE",
  "state": "optimized geometry",
  "cell": [[3.2529, 0.0000, 0.0000], [0.0000, 3.2333, 0.0000], [-1.4894, 0.0000, 4.4693]],
  "species": ["Mn", "Mn", "H", "Se"],
  "frac_coords": [[0.0000, 0.0000, 0.0000], [0.3021, 0.5000, 0.6475], [0.2297, 0.5000, 0.9890], [0.6995, 0.0000, 0.4270]],
  "de_polymorph_mev_per_atom": 19.4,
  "dft_energy_ev_per_atom": -6.263,
  "magmom_total_mub_per_cell": 5.3
}



{
  "formula": "Mn2H2Se",
  "functional": "GGA-PBE",
  "state": "optimized geometry",
  "cell": [[6.1560, 0.0000, 0.0000], [0.0000, 6.1560, 0.0000], [0.0000, 0.0000, 2.6874]],
  "species": ["Mn", "Mn", "Mn", "Mn", "H", "H", "H", "H", "Se", "Se"],
  "frac_coords": [[0.1166, 0.3834, 0.0000], [0.3834, 0.8834, 0.0000], [0.6166, 0.1166, 0.0000], [0.8834, 0.6166, 0.0000], [0.1019, 0.6019, 0.5000], [0.3981, 0.1019, 0.5000], [0.6019, 0.8981, 0.5000], [0.8981, 0.3981, 0.5000], [0.0000, 0.0000, 0.0000], [0.5000, 0.5000, 0.0000]],
  "de_polymorph_mev_per_atom": 392.3,
  "dft_energy_ev_per_atom": -5.265,
  "magmom_total_mub_per_cell": 3.8
}



{
  "formula": "Mn2HSe",
  "functional": "GGA-PBE",
  "state": "optimized geometry",
  "cell": [[-2.4390, 2.4390, 4.5264], [2.4390, -2.4390, 4.5264], [2.4390, 2.4390, -4.5264]],
  "species": ["Mn", "Mn", "Mn", "Mn", "H", "H", "Se", "Se"],
  "frac_coords": [[0.0175, 0.6250, 0.8925], [0.3750, 0.2675, 0.3925], [0.7325, 0.1250, 0.1075], [0.8750, 0.9825, 0.6075], [0.0000, 0.0000, 0.0000], [0.7500, 0.2500, 0.5000], [0.2500, 0.7500, 0.5000], [0.5000, 0.5000, 0.0000]],
  "de_polymorph_mev_per_atom": 148.9,
  "dft_energy_ev_per_atom": -6.133,
  "magmom_total_mub_per_cell": 12.2
}



{
  "formula": "MnHSe2",
  "functional": "GGA-PBE",
  "state": "optimized geometry",
  "cell": [[6.6735, -1.5912, 0.0000], [6.6735, 1.5912, 0.0000], [-0.0699, 0.0000, 2.9979]],
  "species": ["Mn", "H", "Se", "Se"],
  "frac_coords": [[0.0000, 0.0000, 0.0000], [0.0555, 0.0555, 0.5059], [0.4013, 0.4013, 0.4897], [0.6366, 0.6366, 0.0142]],
  "de_polymorph_mev_per_atom": 136.2,
  "dft_energy_ev_per_atom": -4.969,
  "magmom_total_mub_per_cell": 1.4
}



{
  "formula": "MnHSe2",
  "functional": "GGA-PBE",
  "state": "optimized geometry",
  "cell": [[6.2760, 0.0000, 0.0000], [0.0000, 3.4383, 0.0000], [-2.9477, 0.0000, 6.5612]],
  "species": ["Mn", "Mn", "H", "H", "Se", "Se", "Se", "Se"],
  "frac_coords": [[0.0000, 0.0000, 0.0000], [0.3544, 0.5000, 0.0200], [0.5351, 0.5000, 0.8119], [0.8025, 0.0000, 0.3824], [0.1778, 0.0000, 0.7664], [0.1887, 0.5000, 0.2550], [0.6812, 0.0000, 0.1523], [0.7486, 0.5000, 0.7605]],
  "de_polymorph_mev_per_atom": 33.3,
  "dft_energy_ev_per_atom": -5.072,
  "magmom_total_mub_per_cell": 3.5
}



{
  "formula": "MnHSe2",
  "functional": "GGA-PBE",
  "state": "optimized geometry",
  "cell": [[7.8491, 0.0000, 0.0000], [0.0000, 4.0520, 0.0000], [-7.7831, 0.0000, 8.3095]],
  "species": ["Mn", "Mn", "Mn", "Mn", "H", "H", "H", "H", "Se", "Se", "Se", "Se", "Se", "Se", "Se", "Se"],
  "frac_coords": [[0.2212, 0.1799, 0.3453], [0.2212, 0.3201, 0.8453], [0.7788, 0.6799, 0.1547], [0.7788, 0.8201, 0.6547], [0.0022, 0.0847, 0.8031], [0.0022, 0.4153, 0.3031], [0.9978, 0.5847, 0.6969], [0.9978, 0.9153, 0.1969], [0.0778, 0.6723, 0.9585], [0.0778, 0.8277, 0.4585], [0.4330, 0.6906, 0.3636], [0.4330, 0.8094, 0.8636], [0.5670, 0.1906, 0.1364], [0.5670, 0.3094, 0.6364], [0.9222, 0.1723, 0.5415], [0.9222, 0.3277, 0.0415]],
  "de_polymorph_mev_per_atom": 167.9,
  "dft_energy_ev_per_atom": -4.937,
  "magmom_total_mub_per_cell": 12.0
}